Entry from Alexandria via LeMat-Bulk: a crystal of Sr3In11 relaxed with PBEsol (meta-GGA SCAN).

abc: 4.813 9.344 9.344
angles: 74.42 75.08 75.08
Sites, in units of the cell vectors:
In 0.000 0.500 0.500
In 0.500 0.695 0.305
In 0.500 0.305 0.695
In 0.657 0.717 0.969
In 0.343 0.031 0.283
In 0.657 0.969 0.717
In 0.343 0.283 0.031
In 0.853 0.424 0.871
In 0.147 0.129 0.576
In 0.853 0.871 0.424
In 0.147 0.576 0.129
Sr 0.000 0.000 0.000
Sr 0.689 0.311 0.311
Sr 0.311 0.689 0.689

Output
Formation enthalpy at 0 K   -0.429 eV per atom
Energy   -440.08 eV/cell
Crystal system   orthorhombic
Symmetry   No. 71
Total magnetization   0.00 μB/f.u.

Entry from Alexandria via LeMat-Bulk: a crystal of ZnFeCo relaxed with PBEsol (meta-GGA SCAN).

abc: 2.461 2.461 6.193
angles: 97.69 97.69 109.07
Last column: magnetic moment on the atom in μB.
Sites, in units of the cell vectors:
Co 0.995 0.995 0.991  1.85
Fe 0.339 0.339 0.677  2.78
Zn 0.666 0.666 0.332  -0.06

Output
Formation enthalpy at 0 K   -0.044 eV per atom
Energy   -49.08 eV/cell
Crystal system   orthorhombic
Polymorph energy (0 for the lowest one)   31 meV/atom
Symmetry   No. 42
Total magnetization   4.50 μB/f.u.

Entry from Alexandria via LeMat-Bulk: a crystal of MnCdP2 relaxed with PBEsol (meta-GGA SCAN).

abc: 3.296 3.285 6.281
angles: 90.00 90.00 90.00
Last column: magnetic moment on the atom in μB.
Sites, in units of the cell vectors:
Cd 0.000 0.000 0.466  0.04
Mn 0.500 0.500 0.911  2.91
P 0.000 0.000 0.870  -0.06
P 0.500 0.500 0.252  -0.17

Output
Formation enthalpy at 0 K   0.043 eV per atom
Energy   -69.30 eV/cell
Crystal system   orthorhombic
Symmetry   No. 25
Total magnetization   2.74 μB/f.u.

Entry from Alexandria via LeMat-Bulk: a crystal of HfHgPOs2 relaxed with PBEsol (meta-GGA SCAN).

abc: 4.743 4.817 4.817
angles: 90.00 90.00 90.00
Last column: magnetic moment on the atom in μB.
Sites, in units of the cell vectors:
Hf 0.000 0.000 0.000  -0.07
Os 0.000 0.000 0.500  0.69
Os 0.000 0.500 0.000  0.69
Hg 0.500 0.500 0.500  -0.05
P 0.500 0.000 0.000  0.02

Output
Formation enthalpy at 0 K   1.873 eV per atom
Energy   -275.63 eV/cell
Crystal system   tetragonal
Symmetry   No. 123
Total magnetization   1.50 μB/f.u.

Entry from Alexandria via LeMat-Bulk: a crystal of ReOsRu3 relaxed with PBEsol (meta-GGA SCAN).

abc: 4.531 4.531 4.531
angles: 90.00 90.00 90.00
Last column: magnetic moment on the atom in μB.
Sites, in units of the cell vectors:
Re 0.000 0.000 0.000  -0.09
Os 0.500 0.500 0.500  1.54
Ru 0.000 0.500 0.000  0.68
Ru 0.000 0.000 0.500  0.68
Ru 0.500 0.000 0.000  0.68

Output
Formation enthalpy at 0 K   2.294 eV per atom
Energy   -235.99 eV/cell
Crystal system   cubic
Symmetry   No. 221
Total magnetization   3.61 μB/f.u.

Entry from Alexandria via LeMat-Bulk: a crystal of ZrCl3 relaxed with PBEsol (meta-GGA SCAN).

abc: 6.140 6.148 7.153
angles: 90.05 64.94 62.01
Sites, in units of the cell vectors:
Zr 0.856 0.856 0.000
Zr 0.144 0.144 0.000
Cl 0.350 0.925 0.225
Cl 0.670 0.241 0.266
Cl 0.002 0.574 0.224
Cl 0.998 0.426 0.776
Cl 0.330 0.759 0.734
Cl 0.650 0.075 0.775

Output
Energy   -124.98 eV/cell
Crystal system   triclinic
Uncorrected formation energy   -7.9 eV per formula unit
Symmetry   No. 2
Total magnetization   0.00 μB/f.u.

Entry from Alexandria via LeMat-Bulk: a crystal of TiSn3C relaxed with PBEsol (meta-GGA SCAN).

abc: 4.661 4.661 4.661
angles: 90.00 90.00 90.00
Last column: magnetic moment on the atom in μB.
Sites, in units of the cell vectors:
C 0.000 0.000 0.000  0.17
Sn 0.000 0.500 0.000  -0.03
Sn 0.000 0.000 0.500  -0.03
Sn 0.500 0.000 0.000  -0.03
Ti 0.500 0.500 0.500  1.49

Output
Formation enthalpy at 0 K   1.025 eV per atom
Energy   -128.77 eV/cell
Crystal system   cubic
Symmetry   No. 221
Total magnetization   2.01 μB/f.u.

Entry from Alexandria via LeMat-Bulk: a crystal of ScAg4 relaxed with PBEsol (meta-GGA SCAN).

abc: 3.350 3.577 7.701
angles: 103.43 102.56 90.00
Sites, in units of the cell vectors:
Sc 0.500 0.500 0.000
Ag 0.898 0.898 0.796
Ag 0.299 0.299 0.598
Ag 0.701 0.701 0.402
Ag 0.102 0.102 0.204

Output
Formation enthalpy at 0 K   -0.175 eV per atom
Energy   -140.58 eV/cell
Crystal system   orthorhombic
Symmetry   No. 71
Total magnetization   0.00 μB/f.u.